A relaxed structure of CeHoTh2As4, computed with PBE.

Cell and atoms, written as CIF:
```
data_CeHoTh2As4
_cell_length_a 7.276
_cell_length_b 4.215
_cell_length_c 7.297
_cell_angle_alpha 90.00
_cell_angle_beta 109.55
_cell_angle_gamma 90.00
_symmetry_space_group_name_H-M 'P 1 2/m 1'
_symmetry_Int_Tables_number 10
loop_
_symmetry_equiv_pos_as_xyz
'x,y,z'
'-x,-y,-z'
'-x,y,-z'
'x,-y,z'
loop_
_atom_site_label
_atom_site_fract_x
_atom_site_fract_y
_atom_site_fract_z
Ce1 0.000 0.000 0.000
Ho1 0.000 0.500 0.500
Th1 0.500 0.000 0.500
Th2 0.500 0.500 0.000
As1 0.243 0.000 0.745
As2 0.245 0.500 0.251
```

ΔH_f (0 K), eV/f.u.: -11.5